Record 1
! MgBi2Rh PBE relaxed; values from VASP
&SYSTEM
  ibrav = 0, nat = 4, ntyp = 3
/
ATOMIC_SPECIES
Mg 24.30 Mg.upf
Bi 208.98 Bi.upf
Rh 102.91 Rh.upf
ATOMIC_POSITIONS crystal
Mg 0.000 0.000 0.000
Bi 0.104 0.104 0.687
Bi 0.896 0.896 0.313
Rh 0.500 0.500 0.500
CELL_PARAMETERS angstrom
-2.361 -0.655 -2.697
1.163 -1.482 -3.119
-2.021 -9.422 1.596
! Electronic total energy: -16.66 eV for the cell shown
! Fermi-level density of states: 2.5 states/eV per cell
! Formation enthalpy at 0 K: 0.013 eV per atom

---

Record 2
! KCd6P7O24 PBE relaxed; values from VASP
&SYSTEM
  ibrav = 0, nat = 76, ntyp = 4
/
ATOMIC_SPECIES
O 16.00 O.upf
P 30.97 P.upf
Cd 112.41 Cd.upf
K 39.10 K.upf
ATOMIC_POSITIONS crystal
O 0.535 0.307 0.058
O 0.465 0.693 0.558
O 0.862 0.638 0.521
O 0.942 0.050 0.667
O 0.623 0.191 0.878
O 0.862 0.638 0.979
O 0.869 0.377 0.696
O 0.058 0.950 0.333
O 0.198 0.779 0.750
O 0.863 0.990 0.951
O 0.058 0.950 0.167
O 0.377 0.809 0.122
O 0.863 0.990 0.549
O 0.377 0.809 0.378
O 0.519 0.045 0.796
O 0.138 0.362 0.021
O 0.137 0.010 0.049
O 0.151 0.397 0.905
O 0.826 0.245 0.379
O 0.174 0.755 0.621
O 0.131 0.623 0.196
O 0.410 0.176 0.523
O 0.826 0.245 0.121
O 0.514 0.597 0.853
O 0.137 0.010 0.451
O 0.410 0.176 0.977
O 0.535 0.307 0.442
O 0.590 0.824 0.477
O 0.486 0.403 0.147
O 0.138 0.362 0.479
O 0.655 0.769 0.750
O 0.481 0.955 0.296
O 0.514 0.597 0.647
O 0.869 0.377 0.804
O 0.519 0.045 0.704
O 0.849 0.603 0.095
O 0.942 0.050 0.833
O 0.802 0.221 0.250
O 0.486 0.403 0.353
O 0.590 0.824 0.023
O 0.345 0.231 0.250
O 0.849 0.603 0.405
O 0.623 0.191 0.622
O 0.481 0.955 0.204
O 0.131 0.623 0.304
O 0.465 0.693 0.942
O 0.174 0.755 0.879
O 0.151 0.397 0.595
P 0.672 0.392 0.108
P 0.757 0.177 0.830
P 0.709 0.790 0.975
P 0.525 0.103 0.250
P 0.328 0.608 0.892
P 0.757 0.177 0.670
P 0.291 0.210 0.025
P 0.243 0.823 0.170
P 0.291 0.210 0.475
P 0.243 0.823 0.330
P 0.328 0.608 0.608
P 0.709 0.790 0.525
P 0.475 0.897 0.750
P 0.672 0.392 0.392
Cd 0.182 0.688 0.457
Cd 0.891 0.706 0.818
Cd 0.891 0.706 0.682
Cd 0.216 0.080 0.901
Cd 0.784 0.920 0.401
Cd 0.216 0.080 0.599
Cd 0.784 0.920 0.099
Cd 0.818 0.312 0.543
Cd 0.109 0.294 0.182
Cd 0.182 0.688 0.043
Cd 0.109 0.294 0.318
Cd 0.818 0.312 0.957
K 0.281 0.366 0.750
K 0.719 0.634 0.250
CELL_PARAMETERS angstrom
5.592 -0.001 0.000
-2.033 6.573 0.000
0.000 0.000 27.637
! Electronic total energy: -475.62 eV for the cell shown
! Fermi-level density of states: 0.0 states/eV per cell
! Raw formation energy: -1.957 eV/atom

---

Record 3
! RbZn3Ru PBE relaxed; values from VASP
&SYSTEM
  ibrav = 0, nat = 5, ntyp = 3
/
ATOMIC_SPECIES
Zn 65.41 Zn.upf
Rb 85.47 Rb.upf
Ru 101.07 Ru.upf
ATOMIC_POSITIONS crystal
Zn 0.500 0.000 0.000
Zn 0.000 0.500 0.000
Zn 0.000 0.000 0.500
Rb 0.500 0.500 0.500
Ru 0.000 0.000 0.000
CELL_PARAMETERS angstrom
-1.579 -4.261 1.990
0.618 -2.269 -4.368
4.662 -1.142 1.254
! Electronic total energy: -13.27 eV for the cell shown
! Fermi-level density of states: 1.6 states/eV per cell
! Formation enthalpy at 0 K: 0.159 eV per atom
! Distance to the lowest polymorph of the same formula: 0 meV/atom